Record 1
Density functional theory data (GGA-PBE) for Li3Y12H5 after structural relaxation.

a = 15.4391 Å, b = 15.4391 Å, c = 15.4391 Å
α = 90.00°, β = 90.00°, γ = 90.00°
Last column: nearest neighbours and their distance in Å.
Space group Ia-3d (No. 230)
Symmetry-distinct sites (fractional):
1 Li 0.0000 0.2500 0.1250 x24  8 Y 3.11-3.12
2 Y 0.0419 0.0544 0.6504 x96  1 H 2.17
3 H 0.0000 0.0000 0.0000 x16  6 Y 2.55
4 H 0.0000 0.2500 0.3750 x24  4 Y 2.17

Results
Energy, eV/atom: -5.114
Theoretical density, Mg/m³: 3.9

Record 2
Density functional theory data (GGA-PBE) for Er8SiTe4P3 after structural relaxation.

a = 8.2165 Å, b = 8.2165 Å, c = 20.9678 Å
α = 90.00°, β = 90.00°, γ = 120.00°
Last column: nearest neighbours and their distance in Å.
Space group R-3m (No. 166, hexagonal axes)
Symmetry-distinct sites (fractional):
1 Er 0.0000 0.0000 0.2366 x6  3 P 2.79, 3 Te 3.12
2 Er 0.9995 0.4998 0.2375 x18  2 P 2.80, 1 Si 2.80, 3 Te 3.11
3 Si 0.0000 0.0000 0.5000 x3  6 Er 2.80
4 Te 0.0000 0.0000 0.0000 x3  6 Er 3.11
5 Te 0.0000 0.5000 0.0000 x9  6 Er 3.11-3.12
6 P 0.0000 0.5000 0.5000 x9  6 Er 2.79-2.80

Results
Raw formation energy, eV per atom: -1.4188
Energy, eV/atom: -5.839
Theoretical density, Mg/m³: 8.0

Record 3
Density functional theory data (GGA-PBE) for Ba3WN4 after structural relaxation.

a = 8.2773 Å, b = 7.2460 Å, c = 6.1550 Å
α = 90.00°, β = 90.00°, γ = 90.00°
Last column: nearest neighbours and their distance in Å.
Space group Pmn2_1 (No. 31)
Symmetry-distinct sites (fractional):
1 Ba 0.0000 0.1370 0.0000 x2  4 N 2.56-2.84
2 Ba 0.2425 0.3242 0.4981 x4  4 N 2.57-2.75
3 W 0.0000 0.8186 0.4739 x2  4 N 1.89-1.91
4 N 0.0000 0.0728 0.5538 x2  1 W 1.91
5 N 0.0000 0.8128 0.1671 x2  1 W 1.89
6 N 0.1932 0.6962 0.5625 x4  1 W 1.91

Results
Offset from the most stable computed form, meV per atom: 70
Raw formation energy, eV per atom: -0.8383
Energy, eV/atom: -7.341
Theoretical density, Mg/m³: 5.9